First-principles (PBE) data for a relaxed Hf5Si2Sb2 crystal, as listed in Alexandria. Values from VASP.

Summary:
The symmetry is Cmce (64). The value obtained for the density of states at the Fermi level is 8.67 states/eV/cell. The calculation puts the energy at -8.34 eV/atom.

Structure (Quantum ESPRESSO input):
```
&SYSTEM
  ibrav = 0, nat = 18, ntyp = 3
/
ATOMIC_SPECIES
Hf 178.49 Hf.upf
Si 28.09 Si.upf
Sb 121.76 Sb.upf
ATOMIC_POSITIONS crystal
Hf 0.000 0.000 0.000
Hf 0.042 0.712 0.669
Hf 0.212 0.542 0.169
Hf 0.288 0.958 0.669
Hf 0.458 0.788 0.169
Hf 0.500 0.500 0.500
Hf 0.542 0.212 0.831
Hf 0.712 0.042 0.331
Hf 0.788 0.458 0.831
Hf 0.958 0.288 0.331
Si 0.127 0.873 0.375
Si 0.373 0.627 0.875
Si 0.627 0.373 0.125
Si 0.873 0.127 0.625
Sb 0.209 0.209 0.000
Sb 0.291 0.291 0.500
Sb 0.709 0.709 0.500
Sb 0.791 0.791 0.000
CELL_PARAMETERS angstrom
7.087 -3.607 0.000
7.087 3.607 0.000
0.000 0.000 7.163
```